Entry 1:
The following is a PBE calculation of a relaxed structure of Sr3Ta, from the Alexandria database.

```
data_Sr3Ta
_symmetry_space_group_name_H-M 'P 1'
_symmetry_Int_Tables_number 1
_cell_length_a 6.6922
_cell_length_b 6.6922
_cell_length_c 3.6229
_cell_angle_alpha 90.00
_cell_angle_beta 90.00
_cell_angle_gamma 112.98
loop_
_symmetry_equiv_pos_as_xyz
'x,y,z'
loop_
_atom_site_label
_atom_site_fract_x
_atom_site_fract_y
_atom_site_fract_z
Sr1 0.0000 0.0000 0.0000
Sr2 0.0000 0.5000 0.5000
Sr3 0.5000 0.0000 0.5000
Ta1 0.5000 0.5000 0.0000
```

Properties
The formation energy from the elements comes out at 0.965 eV/atom. As for the offset from the most stable computed form: 0.485 eV per atom. As for the space-group type: No. 65.

---

Entry 2:
The following is a PBE calculation of a relaxed structure of Ce2Co5Si4, from the Alexandria database.

```
data_Ce2Co5Si4
_symmetry_space_group_name_H-M 'P 1'
_symmetry_Int_Tables_number 1
_cell_length_a 8.0360
_cell_length_b 7.1009
_cell_length_c 5.3433
_cell_angle_alpha 79.06
_cell_angle_beta 60.18
_cell_angle_gamma 40.76
loop_
_symmetry_equiv_pos_as_xyz
'x,y,z'
loop_
_atom_site_label
_atom_site_fract_x
_atom_site_fract_y
_atom_site_fract_z
Ce1 0.1339 0.1339 0.8661
Ce2 0.8661 0.8661 0.1339
Co1 0.0000 0.0000 0.5000
Co2 0.2500 0.2500 0.2500
Co3 0.5000 0.5000 0.0000
Co4 0.5000 0.5000 0.5000
Co5 0.7500 0.7500 0.7500
Si1 0.2155 0.5209 0.4791
Si2 0.4791 0.7845 0.2155
Si3 0.5209 0.2155 0.7845
Si4 0.7845 0.4791 0.5209
```

Properties
The calculation puts the formation energy (no corrections) at -14.8 kcal/mol of atoms. As for the space-group type: No. 69.

---

Entry 3:
The following is a PBE calculation of a relaxed structure of Tl2SiRu, from the Alexandria database.

```
data_Tl2SiRu
_symmetry_space_group_name_H-M 'P 1'
_symmetry_Int_Tables_number 1
_cell_length_a 5.4668
_cell_length_b 5.4668
_cell_length_c 6.1895
_cell_angle_alpha 123.61
_cell_angle_beta 123.61
_cell_angle_gamma 34.52
loop_
_symmetry_equiv_pos_as_xyz
'x,y,z'
loop_
_atom_site_label
_atom_site_fract_x
_atom_site_fract_y
_atom_site_fract_z
Tl1 0.0000 0.0000 0.0000
Tl2 0.1369 0.1369 0.6338
Si1 0.8027 0.8027 0.1924
Ru1 0.3538 0.3538 0.5025
```

Properties
As for the offset from the most stable computed form: 0.231 eV per atom. The calculation puts the formation energy (no corrections) at 6.3 kcal/mol of atoms. As for the space-group type: No. 8.